Mn3TlCl at its PBEsol-relaxed geometry. Source: Alexandria via LeMat-Bulk, functional meta-GGA SCAN.

a b c (Å): 5.180 5.180 5.180
angles (deg): 90.00 90.00 90.00
Element x y z (fractional)
Mn (0.000, 0.000, 0.500)
Mn (0.000, 0.500, 0.000)
Mn (0.500, 0.000, 0.000)
Tl (0.000, 0.000, 0.000)
Cl (0.500, 0.500, 0.500)

Output
- E_form (uncorrected): 0.34 eV/atom
- Crystal system: cubic
- Total DFT energy (no corrections): -26.683 eV/atom